5
Lattice="4.755 0.000 0.000 0.000 4.755 0.000 0.000 0.000 4.858" Properties=species:S:1:pos:R:3 comment="GGA-PBE HfAlAs2Se, relaxed" e_form_raw_ev_per_fu=1.72 pbc="T T T"
Hf 0.000 0.000 0.000
Al 2.377 2.377 2.429
As 0.000 2.377 2.429
As 2.377 0.000 2.429
Se 2.377 2.377 0.000

16
Lattice="4.344 2.508 7.093 -4.344 2.508 7.093 0.000 -5.016 7.093" Properties=species:S:1:pos:R:3 comment="GGA-PBE Nd8Te3AsSe4, relaxed" e_form_raw_ev_per_fu=-26.52 pbc="T T T"
Nd -2.306 -1.331 12.318
Nd 0.000 0.000 5.092
Nd 0.000 -2.663 8.961
Nd -2.306 1.331 8.961
Nd 2.306 -1.331 12.318
Nd 0.000 2.663 12.318
Nd 0.000 0.000 16.188
Nd 2.306 1.331 8.961
Te -2.172 -1.254 7.093
Te -2.172 1.254 14.186
Te 0.000 2.508 7.093
As 0.000 0.000 0.000
Se -4.344 0.000 10.640
Se -2.172 1.254 3.547
Se 2.172 1.254 3.547
Se 0.000 0.000 10.640

20
Lattice="10.431 0.000 0.000 0.000 8.041 0.000 -0.919 0.000 5.933" Properties=species:S:1:pos:R:3 comment="GGA-PBE LiAg2Te2, relaxed" e_form_raw_ev_per_fu=-1.42 pbc="T T T"
Li 1.632 0.538 1.751
Li 1.172 3.483 4.718
Li 8.339 4.558 1.216
Li 7.880 7.503 4.182
Ag -0.025 5.969 3.004
Ag 0.434 6.092 0.037
Ag 3.225 1.023 5.822
Ag 3.685 2.997 2.855
Ag 5.827 5.043 3.079
Ag 6.286 7.018 0.112
Ag 9.077 1.949 5.896
Ag 9.536 2.072 2.929
Te 0.783 0.319 4.613
Te 1.242 3.701 1.646
Te 3.698 4.885 5.013
Te 4.158 7.176 2.046
Te 5.354 0.864 3.887
Te 5.813 3.156 0.920
Te 8.269 4.339 4.287
Te 8.728 7.722 1.321

8
Lattice="0.000 3.575 3.575 3.575 0.000 3.575 3.575 3.575 0.000" Properties=species:S:1:pos:R:3 comment="GGA-PBE ScCo2H, relaxed" final_energy_ev_per_cell=-49.3 pbc="T T T"
Sc 0.894 0.894 0.894
Sc 6.256 6.256 6.256
Co 3.575 1.788 1.788
Co 1.788 3.575 1.788
Co 1.788 1.788 3.575
Co 3.575 3.575 3.575
H 2.681 2.681 2.681
H 4.469 4.469 4.469

Number 1: total magnetization 0.0 μB/f.u.. Number 2: total magnetization 0.0 μB/f.u.. Number 3: total magnetization 0.0 μB/f.u.. Number 4: total magnetization 1.0 μB/f.u..